1.
This record from Alexandria describes a geometry-optimized Mg2Si3 structure. The functional is PBE.

a = 4.5250 Å, b = 5.3803 Å, c = 8.0885 Å
α = 99.49°, β = 92.31°, γ = 101.55°
Fractional coordinates of all 10 atoms:
Mg (0.1981, 0.3348, 0.5788)
Si (0.0107, 0.6635, 0.1189)
Si (0.9893, 0.3365, 0.8811)
Mg (0.8588, 0.7827, 0.8044)
Si (0.4669, 0.1340, 0.8864)
Si (0.6257, 0.1343, 0.3962)
Si (0.5331, 0.8660, 0.1136)
Mg (0.1412, 0.2173, 0.1956)
Si (0.3743, 0.8657, 0.6038)
Mg (0.8019, 0.6652, 0.4212)

## Properties
excess energy over the best structure of this formula in the dataset = 45 meV/atom



2.
This record from Alexandria describes a geometry-optimized LaSm8Ho4 structure. The functional is PBE.

a = 7.3750 Å, b = 7.3750 Å, c = 10.1636 Å
α = 90.00°, β = 111.27°, γ = 120.00°
Fractional coordinates of all 13 atoms:
Sm (0.5008, 0.2504, 0.3009)
Sm (0.4380, 0.2190, 0.6570)
Sm (0.0505, 0.8001, 0.3009)
Ho (0.5000, 0.0000, 0.0000)
Ho (0.0000, 0.0000, 0.0000)
Sm (0.5620, 0.7810, 0.3430)
Sm (0.0505, 0.2504, 0.3009)
Sm (0.9495, 0.1999, 0.6991)
Ho (0.0000, 0.5000, 0.0000)
Sm (0.9495, 0.7496, 0.6991)
Sm (0.4992, 0.7496, 0.6991)
Ho (0.5000, 0.5000, 0.0000)
La (0.0000, 0.5000, 0.5000)

## Properties
ΔE_f = 0.17 eV/atom



Calculated density (kg/m³)
2326; 7646
Spin magnetization (μB per cell)
0.000; 0.000